# 1
! PBE MgReSi2Ag, optimized geometry; values from VASP
! SG: P4/mmm (123)
! Size of the total moment: 2.33 μB/cell
! N(E_F): 3.5 states/eV per cell
! Formation energy without anion corrections: 172.2 kJ per mole of atoms
! Calculated total energy: -3.763 eV/atom
&SYSTEM
  ibrav = 0, nat = 5, ntyp = 4
/
ATOMIC_SPECIES
Ag 107.87 Ag.upf
Re 186.21 Re.upf
Si 28.09 Si.upf
Mg 24.30 Mg.upf
CELL_PARAMETERS angstrom
-2.161 -3.674 -2.040
2.427 -3.000 2.833
-3.453 0.244 3.217
ATOMIC_POSITIONS crystal
Ag 0.500 0.500 0.500
Re 0.000 0.500 0.000
Si 0.000 0.000 0.500
Si 0.500 0.000 0.000
Mg 0.000 0.000 0.000

---

# 2
! PBE MoAs, optimized geometry; values from VASP
! SG: I-43m (217)
! Formation energy from the elements: 0.3635 eV/atom
! Size of the total moment: 0.00 μB/cell
! N(E_F): 1.5 states/eV per cell
! Calculated total energy: -7.377 eV/atom
&SYSTEM
  ibrav = 0, nat = 16, ntyp = 2
/
ATOMIC_SPECIES
Mo 95.94 Mo.upf
As 74.92 As.upf
CELL_PARAMETERS angstrom
-1.022 5.402 5.562
-4.216 -5.096 4.175
6.508 -2.453 3.578
ATOMIC_POSITIONS crystal
Mo 0.118 0.882 0.118
Mo 0.618 0.618 0.382
Mo 0.882 0.882 0.882
Mo 0.382 0.382 0.382
Mo 0.882 0.118 0.118
Mo 0.618 0.382 0.618
Mo 0.382 0.618 0.618
Mo 0.118 0.118 0.882
As 0.191 0.191 0.191
As 0.691 0.309 0.309
As 0.809 0.809 0.191
As 0.691 0.691 0.691
As 0.191 0.809 0.809
As 0.809 0.191 0.809
As 0.309 0.309 0.691
As 0.309 0.691 0.309

---

# 3
! PBE Tl3Pd4S, optimized geometry; values from VASP
! SG: Pmn2_1 (31)
! Size of the total moment: 0.00 μB/cell
! N(E_F): 8.0 states/eV per cell
! Formation energy without anion corrections: -4.8 kJ per mole of atoms
! Calculated total energy: -4.050 eV/atom
&SYSTEM
  ibrav = 0, nat = 16, ntyp = 3
/
ATOMIC_SPECIES
Tl 204.38 Tl.upf
Pd 106.42 Pd.upf
S 32.06 S.upf
CELL_PARAMETERS angstrom
-4.269 2.224 -2.618
-4.888 -2.120 6.168
1.511 7.238 3.686
ATOMIC_POSITIONS crystal
Tl 0.592 0.365 0.265
Tl 0.117 0.212 0.500
Tl 0.592 0.365 0.735
Tl 0.617 0.788 0.000
Tl 0.092 0.635 0.235
Tl 0.092 0.635 0.765
Pd 0.098 0.299 0.175
Pd 0.598 0.701 0.675
Pd 0.482 0.150 0.000
Pd 0.982 0.850 0.500
Pd 0.134 0.884 0.000
Pd 0.634 0.116 0.500
Pd 0.098 0.299 0.825
Pd 0.598 0.701 0.325
S 0.902 0.120 0.000
S 0.402 0.880 0.500

---

# 4
! PBE AcPmY, optimized geometry; values from VASP
! SG: I4mm (107)
! Formation energy from the elements: 0.0454 eV/atom
! Size of the total moment: 0.00 μB/cell
! N(E_F): 4.7 states/eV per cell
! Energy above the lowest structure with this stoichiometry: 1.1 meV per atom
! Calculated total energy: -5.062 eV/atom
&SYSTEM
  ibrav = 0, nat = 3, ntyp = 3
/
ATOMIC_SPECIES
Y 88.91 Y.upf
Ac 227.00 Ac.upf
Pm 145.00 Pm.upf
CELL_PARAMETERS angstrom
-2.867 -1.025 -2.231
0.265 -3.539 1.286
-3.741 3.977 6.172
ATOMIC_POSITIONS crystal
Y 0.328 0.328 0.657
Ac 0.999 0.999 0.999
Pm 0.672 0.672 0.345

---

# 5
! PBE MnAlZnW, optimized geometry; values from VASP
! SG: F-43m (216)
! Formation energy from the elements: 0.0411 eV/atom
! Size of the total moment: 0.00 μB/cell
! N(E_F): 0.8 states/eV per cell
! Calculated total energy: -6.744 eV/atom
&SYSTEM
  ibrav = 0, nat = 4, ntyp = 4
/
ATOMIC_SPECIES
Zn 65.41 Zn.upf
Mn 54.94 Mn.upf
W 183.84 W.upf
Al 26.98 Al.upf
CELL_PARAMETERS angstrom
-0.524 0.700 -4.162
1.650 -2.706 -2.836
-2.562 -2.521 -2.275
ATOMIC_POSITIONS crystal
Zn 0.000 0.000 0.000
Mn 0.500 0.500 0.500
W 0.750 0.750 0.750
Al 0.250 0.250 0.250

---

# 6
! PBE Rb2LiCa, optimized geometry; values from VASP
! SG: Fm-3m (225)
! Formation energy from the elements: 0.2988 eV/atom
! Size of the total moment: 0.00 μB/cell
! N(E_F): 3.8 states/eV per cell
! Energy above the lowest structure with this stoichiometry: 0.0 meV per atom
! Calculated total energy: -1.164 eV/atom
&SYSTEM
  ibrav = 0, nat = 4, ntyp = 3
/
ATOMIC_SPECIES
Li 6.94 Li.upf
Ca 40.08 Ca.upf
Rb 85.47 Rb.upf
CELL_PARAMETERS angstrom
2.175 -5.730 -3.223
-4.558 -4.111 -3.205
-0.098 -0.331 -6.916
ATOMIC_POSITIONS crystal
Li 0.000 0.000 0.000
Ca 0.500 0.500 0.500
Rb 0.250 0.250 0.250
Rb 0.750 0.750 0.750

---

# 7
! PBE Nd2EuLu, optimized geometry; values from VASP
! SG: P4/mmm (123)
! Formation energy from the elements: 0.1228 eV/atom
! Size of the total moment: 7.96 μB/cell
! N(E_F): 6.2 states/eV per cell
! Energy above the lowest structure with this stoichiometry: 83.9 meV per atom
! Calculated total energy: -5.960 eV/atom
&SYSTEM
  ibrav = 0, nat = 4, ntyp = 3
/
ATOMIC_SPECIES
Nd 144.24 Nd.upf
Lu 174.97 Lu.upf
Eu 151.96 Eu.upf
CELL_PARAMETERS angstrom
3.887 0.000 0.000
0.000 5.974 0.000
0.000 0.000 5.974
ATOMIC_POSITIONS crystal
Nd 0.000 0.500 0.000
Nd 0.000 0.000 0.500
Lu 0.500 0.000 0.000
Eu 0.500 0.500 0.500

---

# 8
! PBE Pr6TlSb5, optimized geometry; values from VASP
! SG: C2/m (12)
! Size of the total moment: 0.00 μB/cell
! N(E_F): 7.7 states/eV per cell
! Formation energy without anion corrections: -97.7 kJ per mole of atoms
! Calculated total energy: -5.317 eV/atom
&SYSTEM
  ibrav = 0, nat = 12, ntyp = 3
/
ATOMIC_SPECIES
Pr 140.91 Pr.upf
Tl 204.38 Tl.upf
Sb 121.76 Sb.upf
CELL_PARAMETERS angstrom
7.771 -0.121 -1.468
-4.198 6.541 -1.468
0.142 0.255 7.868
ATOMIC_POSITIONS crystal
Pr 0.572 0.916 0.747
Pr 0.258 0.258 0.745
Pr 0.428 0.084 0.253
Pr 0.084 0.428 0.253
Pr 0.742 0.742 0.255
Pr 0.916 0.572 0.747
Tl 0.000 0.000 0.000
Sb 0.500 0.500 0.500
Sb 0.835 0.165 0.500
Sb 0.667 0.333 0.000
Sb 0.333 0.667 0.000
Sb 0.165 0.835 0.500

---

> Number 2 is which compound?

MoAs

---

> Look up the N(E_F) of the second one.

1.5 states/eV per cell

---

> Which value of size of the total moment does entry 7 give?

7.96 μB/cell

---

> The highest N(E_F) belongs to which entry?

Tl3Pd4S